Record 1
Here is a crystal of BaSe4 relaxed with PBEsol from Alexandria via LeMat-Bulk. Energies are from SCAN.

Computed properties:
Its space group is No. 139. The crystal system is tetragonal. The uncorrected formation energy is -0.449 eV/atom.

The structure in extended XYZ format:
```
5
Lattice="-2.703 2.703 4.722 2.703 -2.703 4.722 2.703 2.703 -4.722" Properties=species:S:1:pos:R:3 pbc="T T T"
Ba 0.000 0.000 0.000
Se 2.703 0.000 2.361
Se 0.000 0.000 3.623
Se 0.000 0.000 5.821
Se 0.000 2.703 2.361
```

Record 2
Here is a crystal of BaSe relaxed with PBEsol from Alexandria via LeMat-Bulk. Energies are from SCAN.

Computed properties:
Its space group is No. 187. The crystal system is hexagonal. The uncorrected formation energy is -2.170 eV/atom.

The structure in extended XYZ format:
```
2
Lattice="4.469 0.000 0.000 -2.234 3.870 0.000 0.000 0.000 4.090" Properties=species:S:1:pos:R:3 pbc="T T T"
Ba 0.000 0.000 0.000
Se 0.000 2.580 2.045
```

Record 3
Here is a crystal of Ba2Se relaxed with PBEsol from Alexandria via LeMat-Bulk. Energies are from SCAN.

Computed properties:
Its space group is No. 141. The crystal system is tetragonal. The uncorrected formation energy is -1.312 eV/atom.

The structure in extended XYZ format:
```
6
Lattice="-2.001 2.001 15.342 2.001 -2.001 15.342 2.001 2.001 -15.342" Properties=species:S:1:pos:R:3 pbc="T T T"
Ba 2.001 1.001 2.004
Ba 2.001 1.001 5.666
Ba 0.000 1.001 9.675
Ba 0.000 1.001 13.337
Se 2.001 -1.001 11.506
Se 0.000 3.002 3.835
```

Record 4
Here is a crystal of Ba2Se relaxed with PBEsol from Alexandria via LeMat-Bulk. Energies are from SCAN.

Computed properties:
Its space group is No. 191. The crystal system is hexagonal. The uncorrected formation energy is -0.490 eV/atom.

The structure in extended XYZ format:
```
3
Lattice="5.555 0.000 0.000 -2.777 4.811 0.000 0.000 0.000 3.629" Properties=species:S:1:pos:R:3 pbc="T T T"
Ba 0.000 3.207 0.000
Ba 2.777 1.604 0.000
Se 0.000 0.000 1.814
```

Record 5
Here is a crystal of BaSe5 relaxed with PBEsol from Alexandria via LeMat-Bulk. Energies are from SCAN.

Computed properties:
Its space group is No. 189. The crystal system is hexagonal. The uncorrected formation energy is -0.390 eV/atom.

The structure in extended XYZ format:
```
6
Lattice="6.570 0.000 0.000 -3.285 5.689 0.000 0.000 0.000 4.020" Properties=species:S:1:pos:R:3 pbc="T T T"
Ba 0.000 0.000 0.000
Se -1.931 3.344 2.010
Se 0.000 3.793 0.000
Se 1.354 2.345 2.010
Se 3.861 0.000 2.010
Se 3.285 1.896 0.000
```

Record 6
Here is a crystal of Ba2Se relaxed with PBEsol from Alexandria via LeMat-Bulk. Energies are from SCAN.

Computed properties:
Its space group is No. 139. The crystal system is tetragonal. The uncorrected formation energy is -1.343 eV/atom.

The structure in extended XYZ format:
```
3
Lattice="-2.016 2.016 7.511 2.016 -2.016 7.511 2.016 2.016 -7.511" Properties=species:S:1:pos:R:3 pbc="T T T"
Ba 0.000 0.000 1.827
Ba 0.000 0.000 13.195
Se 0.000 0.000 7.511
```